Record 1
Here is crystalline HfAlPtRh at its relaxed geometry from the Alexandria database. Energies are from PBE.

Calculated values
Formation energy, meV per atom: -1035

a b c (Å): 4.151 4.151 7.437
angles (deg): 90.00 90.00 90.00
Fractional coordinates of all 8 atoms:
1 Hf 0.000 0.000 0.000
2 Hf 0.500 0.500 0.500
3 Al 0.000 0.000 0.500
4 Al 0.500 0.500 0.000
5 Pt 0.000 0.500 0.750
6 Pt 0.500 0.000 0.250
7 Rh 0.000 0.500 0.250
8 Rh 0.500 0.000 0.750


Record 2
Here is crystalline PrHo2ErS4 at its relaxed geometry from the Alexandria database. Energies are from PBE.

Calculated values
Formation energy without anion corrections, eV/atom: -1.969

a b c (Å): 6.822 3.886 6.882
angles (deg): 90.00 108.81 90.00
Fractional coordinates of all 8 atoms:
1 Pr 0.000 0.000 0.000
2 Ho 0.500 0.000 0.500
3 Ho 0.500 0.500 0.000
4 Er 0.000 0.500 0.500
5 S 0.255 0.000 0.742
6 S 0.263 0.500 0.264
7 S 0.737 0.500 0.736
8 S 0.745 0.000 0.258


Record 3
Here is crystalline Dy2Ga4AgAu3 at its relaxed geometry from the Alexandria database. Energies are from PBE.

Calculated values
Formation energy, meV per atom: -539

a b c (Å): 4.251 4.251 11.091
angles (deg): 90.00 90.00 90.00
Fractional coordinates of all 10 atoms:
1 Dy 0.000 0.500 0.249
2 Dy 0.500 0.000 0.751
3 Ga 0.000 0.000 0.500
4 Ga 0.000 0.500 0.863
5 Ga 0.500 0.000 0.137
6 Ga 0.500 0.500 0.500
7 Ag 0.500 0.500 0.000
8 Au 0.000 0.000 0.000
9 Au 0.000 0.500 0.639
10 Au 0.500 0.000 0.361


Record 4
Here is crystalline K2LiNb2P2C2O14 at its relaxed geometry from the Alexandria database. Energies are from PBE.

Calculated values
Formation energy without anion corrections, eV/atom: -2.001

a b c (Å): 5.264 6.600 10.527
angles (deg): 88.52 86.80 89.64
Fractional coordinates of all 23 atoms:
1 K 0.000 0.000 0.000
2 K 0.489 0.520 0.548
3 Li 0.482 0.020 0.693
4 Nb 0.532 0.622 0.116
5 Nb 0.951 0.117 0.417
6 P 0.024 0.624 0.336
7 P 0.455 0.126 0.203
8 C 0.049 0.131 0.661
9 C 0.496 0.693 0.876
10 O 0.118 0.138 0.772
11 O 0.167 0.123 0.238
12 O 0.225 0.123 0.563
13 O 0.297 0.667 0.958
14 O 0.311 0.621 0.297
15 O 0.479 0.746 0.761
16 O 0.518 0.317 0.115
17 O 0.524 0.941 0.119
18 O 0.613 0.128 0.321
19 O 0.715 0.664 0.930
20 O 0.813 0.131 0.624
21 O 0.863 0.632 0.218
22 O 0.958 0.433 0.422
23 O 0.960 0.805 0.424


Question: Which formula does entry 4 have?
Answer: K2LiNb2P2C2O14


Repeat the first record exactly.
Here is crystalline HfAlPtRh at its relaxed geometry from the Alexandria database. Energies are from PBE.

Calculated values
Formation energy, meV per atom: -1035

a b c (Å): 4.151 4.151 7.437
angles (deg): 90.00 90.00 90.00
Fractional coordinates of all 8 atoms:
1 Hf 0.000 0.000 0.000
2 Hf 0.500 0.500 0.500
3 Al 0.000 0.000 0.500
4 Al 0.500 0.500 0.000
5 Pt 0.000 0.500 0.750
6 Pt 0.500 0.000 0.250
7 Rh 0.000 0.500 0.250
8 Rh 0.500 0.000 0.750


Question: Number 3 is which compound?
Answer: Dy2Ga4AgAu3